(1)
The following is a PBE-GGA calculation of an optimized crystal structure of LaSmYMg, from Alexandria via LeMat-Bulk.

Summary:
The formation enthalpy at 0 K is 30.8 meV per atom. The calculation puts the energy at -4.40 eV/atom. The distance to the lowest polymorph of the same formula is 6.22 kJ/mol of atoms.

a b c (Å): 5.650 5.650 5.650
angles (deg): 60.00 60.00 60.00
Element x y z (fractional)
Y 0.250 0.250 0.250
Mg 0.750 0.750 0.750
Sm 0.500 0.500 0.500
La 0.000 0.000 0.000

---

(2)
The following is a PBE-GGA calculation of an optimized crystal structure of CeMgZrGa, from Alexandria via LeMat-Bulk.

Summary:
The formation enthalpy at 0 K is -147.8 meV per atom. The calculation puts the energy at -4.92 eV/atom.

a b c (Å): 5.044 5.044 5.044
angles (deg): 60.00 60.00 60.00
Site moments in Bohr magnetons follow the coordinates.
Element x y z (fractional)
Mg 0.500 0.500 0.500  0.00
Ga 0.000 0.000 0.000  -0.01
Zr 0.250 0.250 0.250  0.24
Ce 0.750 0.750 0.750  0.57

---

(3)
The following is a PBE-GGA calculation of an optimized crystal structure of Dy2Ho4ErMg, from Alexandria via LeMat-Bulk.

Summary:
The formation enthalpy at 0 K is 23.5 meV per atom. The calculation puts the energy at -4.19 eV/atom.

a b c (Å): 4.927 4.938 11.083
angles (deg): 63.52 90.00 90.00
Element x y z (fractional)
Dy 0.000 0.000 0.000
Dy 0.500 0.000 0.500
Ho 0.000 0.749 0.751
Ho 0.000 0.251 0.249
Ho 0.500 0.751 0.249
Ho 0.500 0.249 0.751
Er 0.000 0.500 0.500
Mg 0.500 0.500 0.000

---

(4)
The following is a PBE-GGA calculation of an optimized crystal structure of MgGaAg6, from Alexandria via LeMat-Bulk.

Summary:
The formation enthalpy at 0 K is -20.9 meV per atom. The calculation puts the energy at -2.74 eV/atom. The distance to the lowest polymorph of the same formula is 4.97 kJ/mol of atoms.

a b c (Å): 7.254 7.852 5.389
angles (deg): 42.64 45.84 56.24
Element x y z (fractional)
Mg 0.500 0.500 0.500
Ga 0.000 0.000 0.000
Ag 0.963 0.446 0.842
Ag 0.750 0.950 0.735
Ag 0.450 0.252 0.342
Ag 0.250 0.050 0.265
Ag 0.037 0.554 0.158
Ag 0.550 0.748 0.658

---

(5)
The following is a PBE-GGA calculation of an optimized crystal structure of TcRh2Se, from Alexandria via LeMat-Bulk.

Summary:
The value obtained for the formation energy from raw total energies is 0.8 eV/f.u. The calculation puts the energy at -6.94 eV/atom.

a b c (Å): 4.555 4.555 4.555
angles (deg): 126.43 126.43 79.18
Element x y z (fractional)
Rh 0.000 0.000 0.000
Rh 0.250 0.750 0.500
Se 0.500 0.500 0.000
Tc 0.750 0.250 0.500

---

(6)
The following is a PBE-GGA calculation of an optimized crystal structure of Ce2AlCu3Ge4, from Alexandria via LeMat-Bulk.

Summary:
The formation enthalpy at 0 K is -467.2 meV per atom. The calculation puts the energy at -5.10 eV/atom.

a b c (Å): 4.226 4.226 10.219
angles (deg): 90.00 90.00 90.00
Site moments in Bohr magnetons follow the coordinates.
Element x y z (fractional)
Ce 0.500 0.000 0.243  0.67
Ce 0.000 0.500 0.757  0.67
Al 0.500 0.500 0.500  0.00
Cu 0.000 0.000 0.500  -0.01
Cu 0.500 0.000 0.875  0.00
Cu 0.000 0.500 0.125  0.00
Ge 0.500 0.500 0.000  -0.01
Ge 0.000 0.000 0.000  -0.01
Ge 0.500 0.000 0.642  -0.02
Ge 0.000 0.500 0.358  -0.02